one) Below is a relaxed structure of ReMo7, with properties calculated at the PBE level.

a = 5.644 Å, b = 5.644 Å, c = 5.644 Å
α = 60.00°, β = 60.00°, γ = 60.00°
Sites, in units of the cell vectors:
Re: 0.000 0.000 0.000
Mo: 0.000 0.000 0.500
Mo: 0.000 0.500 0.000
Mo: 0.000 0.500 0.500
Mo: 0.500 0.000 0.000
Mo: 0.500 0.000 0.500
Mo: 0.500 0.500 0.000
Mo: 0.500 0.500 0.500

Properties
N(E_F): 1.328 states/eV per atom
Theoretical density: 11.203 g cm⁻³
Calculated volume: 127.14 Å³/cell
Magnetization: 0.00 μB/cell

two) Below is a relaxed structure of ReMo7, with properties calculated at the PBE level.

a = 6.316 Å, b = 6.316 Å, c = 6.316 Å
α = 89.99°, β = 89.99°, γ = 89.99°
Sites, in units of the cell vectors:
Re: 0.125 0.125 0.125
Re: 0.875 0.875 0.875
Mo: 0.125 0.125 0.625
Mo: 0.125 0.625 0.125
Mo: 0.125 0.625 0.625
Mo: 0.375 0.375 0.375
Mo: 0.375 0.375 0.875
Mo: 0.375 0.875 0.375
Mo: 0.375 0.875 0.875
Mo: 0.625 0.125 0.125
Mo: 0.625 0.125 0.625
Mo: 0.625 0.625 0.125
Mo: 0.625 0.625 0.625
Mo: 0.875 0.375 0.375
Mo: 0.875 0.375 0.875
Mo: 0.875 0.875 0.375

Properties
N(E_F): 0.908 states/eV per atom
Theoretical density: 11.305 g cm⁻³
Calculated volume: 251.99 Å³/cell
Magnetization: 0.00 μB/cell

Tell me which of them is the least stable. Sure, it is one).

one) Below is a relaxed structure of Re5Mo3, with properties calculated at the PBE level.

a = 7.903 Å, b = 7.908 Å, c = 3.936 Å
α = 90.00°, β = 90.00°, γ = 90.00°
Sites, in units of the cell vectors:
Re: 0.000 0.000 0.000
Re: 0.000 0.249 0.500
Re: 0.000 0.751 0.500
Re: 0.250 0.250 0.000
Re: 0.250 0.750 0.000
Re: 0.500 0.251 0.500
Re: 0.500 0.500 0.000
Re: 0.500 0.749 0.500
Re: 0.750 0.250 0.000
Re: 0.750 0.750 0.000
Mo: 0.000 0.500 0.000
Mo: 0.247 0.000 0.500
Mo: 0.253 0.500 0.500
Mo: 0.500 0.000 0.000
Mo: 0.747 0.500 0.500
Mo: 0.753 0.000 0.500

Properties
N(E_F): 0.727 states/eV per atom
Theoretical density: 16.455 g cm⁻³
Calculated volume: 246.01 Å³/cell
Magnetization: 0.00 μB/cell

two) Below is a relaxed structure of Re5Mo3, with properties calculated at the PBE level.

a = 7.655 Å, b = 7.655 Å, c = 5.002 Å
α = 90.00°, β = 90.00°, γ = 120.00°
Sites, in units of the cell vectors:
Re: 0.000 0.214 0.250
Re: 0.000 0.786 0.750
Re: 0.214 0.000 0.250
Re: 0.214 0.214 0.750
Re: 0.333 0.667 0.000
Re: 0.333 0.667 0.500
Re: 0.667 0.333 0.000
Re: 0.667 0.333 0.500
Re: 0.786 0.000 0.750
Re: 0.786 0.786 0.250
Mo: 0.000 0.407 0.750
Mo: 0.000 0.593 0.250
Mo: 0.407 0.000 0.750
Mo: 0.407 0.407 0.250
Mo: 0.593 0.000 0.250
Mo: 0.593 0.593 0.750

Properties
N(E_F): 1.063 states/eV per atom
Theoretical density: 15.947 g cm⁻³
Calculated volume: 253.84 Å³/cell
Magnetization: 0.00 μB/cell

Tell me which of them is the least stable. Sure, it is two).

one) Below is a relaxed structure of ReMoRh2, with properties calculated at the PBE level.

a = 3.325 Å, b = 3.325 Å, c = 5.449 Å
α = 90.00°, β = 90.00°, γ = 90.00°
Sites, in units of the cell vectors:
Re: 0.000 0.000 0.000
Mo: 0.000 0.000 0.500
Rh: 0.500 0.500 0.249
Rh: 0.500 0.500 0.751

Properties
N(E_F): 1.569 states/eV per atom
Theoretical density: 13.451 g cm⁻³
Calculated volume: 60.24 Å³/cell
Magnetization: 0.00 μB/cell

two) Below is a relaxed structure of ReMoRh2, with properties calculated at the PBE level.

a = 2.761 Å, b = 2.761 Å, c = 27.052 Å
α = 90.00°, β = 90.00°, γ = 120.00°
Sites, in units of the cell vectors:
Re: 0.000 0.000 0.000
Re: 0.333 0.667 0.667
Re: 0.667 0.333 0.333
Mo: 0.000 0.000 0.244
Mo: 0.333 0.667 0.911
Mo: 0.667 0.333 0.577
Rh: 0.000 0.000 0.498
Rh: 0.000 0.000 0.745
Rh: 0.333 0.667 0.165
Rh: 0.333 0.667 0.412
Rh: 0.667 0.333 0.078
Rh: 0.667 0.333 0.832

Properties
N(E_F): 1.502 states/eV per atom
Theoretical density: 13.608 g cm⁻³
Calculated volume: 178.63 Å³/cell
Magnetization: 0.00 μB/cell

three) Below is a relaxed structure of ReMoRh2, with properties calculated at the PBE level.

a = 4.758 Å, b = 2.740 Å, c = 4.795 Å
α = 90.00°, β = 109.42°, γ = 90.00°
Sites, in units of the cell vectors:
Re: 0.000 0.000 0.000
Mo: 0.500 0.500 0.000
Rh: 0.000 0.500 0.500
Rh: 0.500 0.000 0.500

Properties
N(E_F): 1.172 states/eV per atom
Theoretical density: 13.742 g cm⁻³
Calculated volume: 58.97 Å³/cell
Magnetization: 0.00 μB/cell

four) Below is a relaxed structure of ReMoRh2, with properties calculated at the PBE level.

a = 6.227 Å, b = 6.227 Å, c = 6.227 Å
α = 90.00°, β = 90.00°, γ = 90.00°
Sites, in units of the cell vectors:
Re: 0.000 0.000 0.000
Re: 0.000 0.500 0.500
Re: 0.500 0.000 0.500
Re: 0.500 0.500 0.000
Mo: 0.000 0.000 0.500
Mo: 0.000 0.500 0.000
Mo: 0.500 0.000 0.000
Mo: 0.500 0.500 0.500
Rh: 0.250 0.250 0.250
Rh: 0.250 0.250 0.750
Rh: 0.250 0.750 0.250
Rh: 0.250 0.750 0.750
Rh: 0.750 0.250 0.250
Rh: 0.750 0.250 0.750
Rh: 0.750 0.750 0.250
Rh: 0.750 0.750 0.750

Properties
N(E_F): 1.701 states/eV per atom
Theoretical density: 13.426 g cm⁻³
Calculated volume: 241.40 Å³/cell
Magnetization: 0.00 μB/cell

Tell me which of them is the least stable. Sure, it is four).

one) Below is a relaxed structure of ReMoRh4, with properties calculated at the PBE level.

a = 5.033 Å, b = 5.033 Å, c = 5.033 Å
α = 60.00°, β = 60.00°, γ = 60.00°
Sites, in units of the cell vectors:
Re: 0.000 0.000 0.000
Mo: 0.250 0.250 0.250
Rh: 0.124 0.625 0.625
Rh: 0.625 0.124 0.625
Rh: 0.625 0.625 0.124
Rh: 0.625 0.625 0.625

Properties
N(E_F): 1.782 states/eV per atom
Theoretical density: 12.783 g cm⁻³
Calculated volume: 90.12 Å³/cell
Magnetization: 0.00 μB/cell

two) Below is a relaxed structure of ReMoRh4, with properties calculated at the PBE level.

a = 5.709 Å, b = 6.300 Å, c = 5.708 Å
α = 90.00°, β = 92.49°, γ = 90.00°
Sites, in units of the cell vectors:
Re: 0.000 0.000 0.000
Re: 0.500 0.500 0.000
Mo: 0.000 0.500 0.500
Mo: 0.500 0.000 0.500
Rh: 0.250 0.245 0.751
Rh: 0.250 0.255 0.249
Rh: 0.250 0.745 0.249
Rh: 0.250 0.755 0.751
Rh: 0.750 0.245 0.249
Rh: 0.750 0.255 0.751
Rh: 0.750 0.745 0.751
Rh: 0.750 0.755 0.249

Properties
N(E_F): 0.588 states/eV per atom
Theoretical density: 11.233 g cm⁻³
Calculated volume: 205.11 Å³/cell
Magnetization: 0.00 μB/cell

Tell me which of them is the least stable. Sure, it is one).